VASP calculation (PBE with a Hubbard U) on crystalline FeI2O2 at its relaxed geometry.

Geometry as POSCAR:
```
FeI2O2
1.0
4.832 0.000 0.000
0.000 4.832 0.000
0.000 0.000 4.015
Fe I O
1 2 2
Direct
0.000 0.000 0.000
0.000 0.500 0.500
0.500 0.000 0.500
0.500 0.500 0.000
0.500 0.500 0.500
```

Calculated values
* energy relative to the lowest polymorph listed for this composition: 899.1 meV/atom
* space group: P4/mmm
* calculated volume: 18.75 Å³ per atom
* DOS(E_F): 1.112 states/eV/atom